No. 1
A geometry-optimized In2AgI3 structure. Source: Alexandria via LeMat-Bulk, functional GGA-PBE.

Results
Its uncorrected formation energy is -0.3598 eV/atom. The energy above the most stable polymorph in this dataset comes out at 2.1 kJ/mol of atoms. As for the crystal system: orthorhombic. The space group is Imm2, No. 44. The total energy is -15.14 eV per formula unit.

Lattice parameters (Å, degrees): 10.4043 10.4043 10.4043 152.93 39.10 152.33
Last column: nearest neighbours and their distance in Å.
Sites, in units of the cell vectors:
In (0.1656, 0.0000, 0.1656)  5 I 3.25-3.56
In (0.8344, 0.0000, 0.8344)  5 I 3.25-3.56
Ag (0.6781, 0.1781, 0.5000)  4 I 2.90-2.93
I (0.3450, 0.9861, 0.3589)  1 Ag 2.93
I (0.6272, 0.9861, 0.6411)  1 Ag 2.93
I (0.9959, 0.9959, 0.0000)  2 Ag 2.90, 2 In 3.25

---

No. 2
A geometry-optimized In2Ag2I7 structure. Source: Alexandria via LeMat-Bulk, functional GGA-PBE.

Results
Its uncorrected formation energy is -0.3241 eV/atom. The energy above the most stable polymorph in this dataset comes out at 1.7 kJ/mol of atoms. As for the crystal system: monoclinic. The space group is C2/m, No. 12. The total energy is -25.60 eV per formula unit.

Lattice parameters (Å, degrees): 8.7341 8.7341 8.0260 90.80 90.80 112.91
Last column: nearest neighbours and their distance in Å.
Sites, in units of the cell vectors:
In (0.2086, 0.2086, 0.3773)  5 I 2.90-3.18
In (0.7914, 0.7914, 0.6227)  5 I 2.90-3.18
Ag (0.1344, 0.8656, 0.0000)  2 I 2.74
Ag (0.8656, 0.1344, 0.0000)  2 I 2.74
I (0.0630, 0.4022, 0.1911)  1 Ag 2.74, 1 In 2.90
I (0.1112, 0.1112, 0.7298)  2 In 3.00-3.18, 2 Ag 3.13
I (0.4022, 0.0630, 0.1911)  1 Ag 2.74, 1 In 2.90
I (0.5000, 0.5000, 0.5000)  2 In 2.96
I (0.5978, 0.9370, 0.8089)  1 Ag 2.74, 1 In 2.90
I (0.8888, 0.8888, 0.2702)  2 In 3.00-3.18, 2 Ag 3.13
I (0.9370, 0.5978, 0.8089)  1 Ag 2.74, 1 In 2.90

---

No. 3
A geometry-optimized In5Ag3I12 structure. Source: Alexandria via LeMat-Bulk, functional GGA-PBE.

Results
Its uncorrected formation energy is -0.1864 eV/atom. As for the crystal system: cubic. The space group is Ia-3d, No. 230. The total energy is -44.58 eV per formula unit.

Lattice parameters (Å, degrees): 16.4507 16.4507 16.4507 109.47 109.47 109.47
Last column: nearest neighbours and their distance in Å.
Sites, in units of the cell vectors:
In (0.0000, 0.0000, 0.0000)  6 I 3.36
In (0.0000, 0.0000, 0.5000)  6 I 3.36
In (0.0000, 0.5000, 0.0000)  6 I 3.36
In (0.0000, 0.5000, 0.5000)  6 I 3.36
In (0.1250, 0.7500, 0.8750)  4 I 2.89
In (0.1250, 0.8750, 0.2500)  4 I 2.89
In (0.2500, 0.1250, 0.8750)  4 I 2.89
In (0.2500, 0.6250, 0.3750)  4 I 2.89
In (0.3750, 0.2500, 0.6250)  4 I 2.89
In (0.3750, 0.6250, 0.7500)  4 I 2.89
In (0.5000, 0.0000, 0.0000)  6 I 3.36
In (0.5000, 0.0000, 0.5000)  6 I 3.36
In (0.5000, 0.5000, 0.0000)  6 I 3.36
In (0.5000, 0.5000, 0.5000)  6 I 3.36
In (0.6250, 0.3750, 0.2500)  4 I 2.89
In (0.6250, 0.7500, 0.3750)  4 I 2.89
In (0.7500, 0.3750, 0.6250)  4 I 2.89
In (0.7500, 0.8750, 0.1250)  4 I 2.89
In (0.8750, 0.1250, 0.7500)  4 I 2.89
In (0.8750, 0.2500, 0.1250)  4 I 2.89
Ag (0.1250, 0.2500, 0.3750)  8 I 3.44-3.70
Ag (0.1250, 0.3750, 0.7500)  8 I 3.44-3.70
Ag (0.2500, 0.3750, 0.1250)  8 I 3.44-3.70
Ag (0.2500, 0.8750, 0.6250)  8 I 3.44-3.70
Ag (0.3750, 0.1250, 0.2500)  8 I 3.44-3.70
Ag (0.3750, 0.7500, 0.1250)  8 I 3.44-3.70
Ag (0.6250, 0.2500, 0.8750)  8 I 3.44-3.70
Ag (0.6250, 0.8750, 0.7500)  8 I 3.44-3.70
Ag (0.7500, 0.1250, 0.3750)  8 I 3.44-3.70
Ag (0.7500, 0.6250, 0.8750)  8 I 3.44-3.70
Ag (0.8750, 0.6250, 0.2500)  8 I 3.44-3.70
Ag (0.8750, 0.7500, 0.6250)  8 I 3.44-3.70
I (0.0449, 0.2320, 0.1282)  1 In 2.89
I (0.0449, 0.3128, 0.9166)  1 In 2.89
I (0.0834, 0.6282, 0.3962)  1 In 2.89
I (0.0834, 0.9551, 0.6872)  1 In 2.89
I (0.1038, 0.7320, 0.6872)  1 In 2.89
I (0.1038, 0.8718, 0.4166)  1 In 2.89
I (0.1282, 0.0449, 0.2320)  1 In 2.89
I (0.1282, 0.5834, 0.8962)  1 In 2.89
I (0.1872, 0.2320, 0.6038)  1 In 2.89
I (0.1872, 0.4551, 0.5834)  1 In 2.89
I (0.2320, 0.1282, 0.0449)  1 In 2.89
I (0.2320, 0.6038, 0.1872)  1 In 2.89
I (0.2680, 0.3128, 0.8962)  1 In 2.89
I (0.2680, 0.4551, 0.3718)  1 In 2.89
I (0.3128, 0.8962, 0.2680)  1 In 2.89
I (0.3128, 0.9166, 0.0449)  1 In 2.89
I (0.3718, 0.2680, 0.4551)  1 In 2.89
I (0.3718, 0.6038, 0.9166)  1 In 2.89
I (0.3962, 0.0834, 0.6282)  1 In 2.89
I (0.3962, 0.8128, 0.7680)  1 In 2.89
I (0.4166, 0.1038, 0.8718)  1 In 2.89
I (0.4166, 0.8128, 0.5449)  1 In 2.89
I (0.4551, 0.3718, 0.2680)  1 In 2.89
I (0.4551, 0.5834, 0.1872)  1 In 2.89
I (0.5449, 0.4166, 0.8128)  1 In 2.89
I (0.5449, 0.6282, 0.7320)  1 In 2.89
I (0.5834, 0.1872, 0.4551)  1 In 2.89
I (0.5834, 0.8962, 0.1282)  1 In 2.89
I (0.6038, 0.1872, 0.2320)  1 In 2.89
I (0.6038, 0.9166, 0.3718)  1 In 2.89
I (0.6282, 0.3962, 0.0834)  1 In 2.89
I (0.6282, 0.7320, 0.5449)  1 In 2.89
I (0.6872, 0.0834, 0.9551)  1 In 2.89
I (0.6872, 0.1038, 0.7320)  1 In 2.89
I (0.7320, 0.5449, 0.6282)  1 In 2.89
I (0.7320, 0.6872, 0.1038)  1 In 2.89
I (0.7680, 0.3962, 0.8128)  1 In 2.89
I (0.7680, 0.8718, 0.9551)  1 In 2.89
I (0.8128, 0.5449, 0.4166)  1 In 2.89
I (0.8128, 0.7680, 0.3962)  1 In 2.89
I (0.8718, 0.4166, 0.1038)  1 In 2.89
I (0.8718, 0.9551, 0.7680)  1 In 2.89
I (0.8962, 0.1282, 0.5834)  1 In 2.89
I (0.8962, 0.2680, 0.3128)  1 In 2.89
I (0.9166, 0.0449, 0.3128)  1 In 2.89
I (0.9166, 0.3718, 0.6038)  1 In 2.89
I (0.9551, 0.6872, 0.0834)  1 In 2.89
I (0.9551, 0.7680, 0.8718)  1 In 2.89